No. 1
# LiPu2Cu2S6

An optimized crystal structure of LiPu2Cu2S6 (PBE, the Alexandria database).

Unit cell a=6.526 b=6.526 c=7.800 alpha=65.27 beta=65.27 gamma=60.00
Site moments in Bohr magnetons follow the coordinates.
Element x y z (fractional)
S1 0.803 0.240 0.717  -0.09
S2 0.240 0.803 0.717  -0.09
S3 0.760 0.197 0.283  -0.09
S4 0.240 0.240 0.717  -0.09
S5 0.197 0.760 0.283  -0.09
S6 0.760 0.760 0.283  -0.09
Pu1 0.202 0.202 0.393  5.16
Pu2 0.798 0.798 0.607  5.16
Cu1 0.435 0.435 0.695  -0.04
Cu2 0.565 0.565 0.305  -0.04
Li1 0.000 0.000 0.000  0.00

Theoretical density (g cm⁻³): 5.37
Symmetry: R-3m (166)
Crystal system: trigonal
Volume (Å³ per cell): 251.9
DFT total energy (eV per atom): -6.39

=====

No. 2
# Li2PuCu2Sb2

An optimized crystal structure of Li2PuCu2Sb2 (PBE, the Alexandria database).

Unit cell a=4.445 b=4.445 c=8.752 alpha=75.29 beta=75.29 gamma=60.00
Site moments in Bohr magnetons follow the coordinates.
Element x y z (fractional)
Li1 0.864 0.864 0.408  0.01
Li2 0.136 0.136 0.592  0.01
Cu1 0.591 0.591 0.228  0.01
Cu2 0.409 0.409 0.772  0.01
Pu1 0.000 0.000 0.000  5.41
Sb1 0.251 0.251 0.246  -0.04
Sb2 0.749 0.749 0.754  -0.04

Theoretical density (g cm⁻³): 7.29
Symmetry: R-3m (166)
Crystal system: trigonal
Volume (Å³ per cell): 143.2
DFT total energy (eV per atom): -5.35

=====

No. 3
# LiPuCu2Sb2

An optimized crystal structure of LiPuCu2Sb2 (PBE, the Alexandria database).

Unit cell a=4.412 b=4.412 c=7.130 alpha=90.00 beta=90.00 gamma=120.00
Site moments in Bohr magnetons follow the coordinates.
Element x y z (fractional)
Cu1 0.667 0.333 0.337  -0.03
Cu2 0.333 0.667 0.663  -0.03
Sb1 0.333 0.667 0.259  -0.07
Sb2 0.667 0.333 0.741  -0.07
Pu1 0.000 0.000 0.000  5.28
Li1 0.000 0.000 0.500  0.00

Theoretical density (g cm⁻³): 8.59
Symmetry: P-3m1 (164)
Crystal system: trigonal
Volume (Å³ per cell): 120.2
DFT total energy (eV per atom): -5.84